Record 1
Here is an optimized crystal structure of La3NbCo from Alexandria. Energies are from PBE-GGA.

a = 5.323 Å, b = 5.323 Å, c = 5.323 Å
α = 90.00°, β = 90.00°, γ = 90.00°
Positions (direct):
1 Nb 0.500 0.500 0.500
2 Co 0.000 0.000 0.000
3 La 0.000 0.500 0.000
4 La 0.000 0.000 0.500
5 La 0.500 0.000 0.000

Properties
**Space group**: Pm-3m
**Total energy**: -5.968 eV per atom
**E_form**: 0.4239 eV per atom
**M_tot**: 3.564 Bohr magnetons per cell

***

Record 2
Here is an optimized crystal structure of LaNbCo3 from Alexandria. Energies are from PBE-GGA.

a = 4.473 Å, b = 4.473 Å, c = 4.473 Å
α = 90.00°, β = 90.00°, γ = 90.00°
Positions (direct):
1 Nb 0.500 0.500 0.500
2 Co 0.000 0.500 0.000
3 Co 0.000 0.000 0.500
4 Co 0.500 0.000 0.000
5 La 0.000 0.000 0.000

Properties
**Space group**: Pm-3m
**Total energy**: -5.697 eV per atom
**Energy above the lowest structure with this stoichiometry**: 1015 meV/atom
**E_form**: 1.5663 eV per atom
**M_tot**: 0.000 Bohr magnetons per cell

***

Record 3
Here is an optimized crystal structure of LaNb3Co from Alexandria. Energies are from PBE-GGA.

a = 4.767 Å, b = 4.767 Å, c = 4.767 Å
α = 90.00°, β = 90.00°, γ = 90.00°
Positions (direct):
1 Nb 0.000 0.500 0.000
2 Nb 0.000 0.000 0.500
3 Nb 0.500 0.000 0.000
4 Co 0.000 0.000 0.000
5 La 0.500 0.500 0.500

Properties
**Space group**: Pm-3m
**Total energy**: -7.915 eV per atom
**Energy above the lowest structure with this stoichiometry**: 0 meV/atom
**E_form**: 0.5332 eV per atom
**M_tot**: 0.000 Bohr magnetons per cell

***

Record 4
Here is an optimized crystal structure of LaNbCo3 from Alexandria. Energies are from PBE-GGA.

a = 4.580 Å, b = 4.580 Å, c = 4.580 Å
α = 90.00°, β = 90.00°, γ = 90.00°
Positions (direct):
1 Nb 0.000 0.000 0.000
2 Co 0.000 0.500 0.000
3 Co 0.000 0.000 0.500
4 Co 0.500 0.000 0.000
5 La 0.500 0.500 0.500

Properties
**Space group**: Pm-3m
**Total energy**: -6.711 eV per atom
**Energy above the lowest structure with this stoichiometry**: 0 meV/atom
**E_form**: 0.5516 eV per atom
**M_tot**: 0.000 Bohr magnetons per cell

***

Record 5
Here is an optimized crystal structure of LaNb3Co from Alexandria. Energies are from PBE-GGA.

a = 4.834 Å, b = 4.834 Å, c = 4.834 Å
α = 90.00°, β = 90.00°, γ = 90.00°
Positions (direct):
1 Nb 0.000 0.500 0.000
2 Nb 0.000 0.000 0.500
3 Nb 0.500 0.000 0.000
4 Co 0.500 0.500 0.500
5 La 0.000 0.000 0.000

Properties
**Space group**: Pm-3m
**Total energy**: -6.264 eV per atom
**Energy above the lowest structure with this stoichiometry**: 1651 meV/atom
**E_form**: 2.1843 eV per atom
**M_tot**: 0.000 Bohr magnetons per cell

***

Record 6
Here is an optimized crystal structure of La2NbCo3Ni12 from Alexandria. Energies are from PBE-GGA.

a = 6.323 Å, b = 6.323 Å, c = 6.323 Å
α = 82.92°, β = 82.92°, γ = 82.92°
Positions (direct):
1 La 0.727 0.727 0.727
2 La 0.273 0.273 0.273
3 Nb 0.000 0.000 0.000
4 Co 0.500 0.000 0.000
5 Co 0.000 0.500 0.000
6 Co 0.000 0.000 0.500
7 Ni 0.417 0.417 0.853
8 Ni 0.798 0.798 0.278
9 Ni 0.278 0.798 0.798
10 Ni 0.853 0.417 0.417
11 Ni 0.798 0.278 0.798
12 Ni 0.417 0.853 0.417
13 Ni 0.583 0.583 0.147
14 Ni 0.202 0.202 0.722
15 Ni 0.722 0.202 0.202
16 Ni 0.147 0.583 0.583
17 Ni 0.202 0.722 0.202
18 Ni 0.583 0.147 0.583

Properties
**Space group**: R-3m
**Total energy**: -6.030 eV per atom
**E_form**: 0.1159 eV per atom
**M_tot**: 5.546 Bohr magnetons per cell